Density functional theory data (PBEsol) for a relaxed SiTcSe2 crystal.

Calculated values
**Total energy**: -5.83 eV per atom
**E_form (uncorrected)**: 344 meV/atom
**Calculated density**: 5.47 g/cm³
**Symmetry**: I-42d, No. 122

Cell: 6.807 6.807 6.807 Å, 131.66 131.66 70.77°
Fractional coordinates of all 8 atoms:
Si (0.000, 0.000, 0.000)
Si (0.750, 0.250, 0.500)
Tc (0.250, 0.750, 0.500)
Tc (0.500, 0.500, 0.000)
Se (0.136, 0.625, 0.011)
Se (0.375, 0.386, 0.511)
Se (0.614, 0.125, 0.989)
Se (0.875, 0.864, 0.489)